## LiUS3 (PBE)

Data for a relaxed LiUS3 crystal.

a b c (Å): 7.100 7.100 10.564
angles (deg): 112.19 112.19 57.25
Sites, in units of the cell vectors:
Li (0.000, 0.500, 0.000)
Li (0.203, 0.797, 0.750)
Li (0.500, 0.000, 0.500)
Li (0.797, 0.203, 0.250)
U (0.220, 0.448, 0.374)
U (0.448, 0.220, 0.874)
U (0.552, 0.780, 0.126)
U (0.780, 0.552, 0.626)
S (0.048, 0.233, 0.781)
S (0.226, 0.670, 0.970)
S (0.232, 0.401, 0.627)
S (0.233, 0.048, 0.281)
S (0.330, 0.774, 0.530)
S (0.401, 0.232, 0.127)
S (0.599, 0.768, 0.873)
S (0.670, 0.226, 0.470)
S (0.767, 0.952, 0.719)
S (0.768, 0.599, 0.373)
S (0.774, 0.330, 0.030)
S (0.952, 0.767, 0.219)

## Properties
The density of states at the Fermi level comes out at 21.76 states/eV per cell. As for the space group: No. 15. Its uncorrected formation energy is -1.235 eV per atom. The value obtained for the excess energy over the best structure of this formula in the dataset is 0.0 meV/atom.


## LiU4S7 (PBE)

Data for a relaxed LiU4S7 crystal.

a b c (Å): 3.912 3.912 22.519
angles (deg): 90.00 90.00 120.00
Sites, in units of the cell vectors:
Li (0.000, 0.000, 0.000)
U (0.333, 0.667, 0.139)
U (0.333, 0.667, 0.429)
U (0.667, 0.333, 0.571)
U (0.667, 0.333, 0.861)
S (0.000, 0.000, 0.202)
S (0.000, 0.000, 0.500)
S (0.000, 0.000, 0.798)
S (0.333, 0.667, 0.635)
S (0.333, 0.667, 0.932)
S (0.667, 0.333, 0.068)
S (0.667, 0.333, 0.365)

## Properties
The density of states at the Fermi level comes out at 15.53 states/eV per cell. As for the space group: No. 164. Its uncorrected formation energy is -1.358 eV per atom.